No. 1
Compound: DyTmSi2Pt5
Source: Alexandria
Functional: PBE
Structure: optimized geometry

The energy comes out at -6.676 eV per atom. The space-group type is No. 123. For the density, the calculation gives 14.5 Mg/m³. The formation energy from raw total energies is -1107 meV per atom.

Unit cell a=4.175 b=4.175 c=8.933 alpha=90.00 beta=90.00 gamma=90.00
Element x y z (fractional)
Dy: 0.000 0.000 0.500
Si: 0.500 0.500 0.870
Pt: 0.500 0.500 0.500
Pt: 0.500 0.000 0.264
Pt: 0.000 0.500 0.264
Pt: 0.500 0.000 0.736
Si: 0.500 0.500 0.130
Tm: 0.000 0.000 0.000
Pt: 0.000 0.500 0.736

***

No. 2
Compound: DyU2Si2Pt7
Source: Alexandria
Functional: PBE
Structure: optimized geometry

The energy comes out at -7.540 eV per atom. The space-group type is No. 12. For the density, the calculation gives 15.4 Mg/m³. The formation energy from raw total energies is -848 meV per atom.

Unit cell a=4.040 b=4.040 c=13.800 alpha=83.99 beta=83.99 gamma=89.01
Last column: magnetic moment on the atom in μB.
Element x y z (fractional)
U: 0.119 0.119 0.642  2.31
Pt: 0.358 0.358 0.430  -0.05
Pt: 0.059 0.558 0.838  0.05
Pt: 0.442 0.941 0.162  0.05
Pt: 0.558 0.059 0.838  0.05
Pt: 0.941 0.442 0.162  0.05
Si: 0.408 0.408 0.256  0.00
Dy: 0.000 0.000 0.000  0.00
Si: 0.592 0.592 0.744  0.00
Pt: 0.500 0.500 0.000  0.01
Pt: 0.642 0.642 0.570  -0.05
U: 0.881 0.881 0.358  2.31

***

No. 3
Compound: DyY2Si3Pt4
Source: Alexandria
Functional: PBE
Structure: optimized geometry

The energy comes out at -6.851 eV per atom. The space-group type is No. 115. For the density, the calculation gives 10.4 Mg/m³. The formation energy from raw total energies is -1055 meV per atom.

Unit cell a=4.185 b=4.185 c=10.991 alpha=90.00 beta=90.00 gamma=90.00
Element x y z (fractional)
Pt: 0.000 0.500 0.337
Si: 0.000 0.000 0.500
Si: 0.500 0.000 0.878
Y: 0.000 0.500 0.777
Si: 0.000 0.500 0.122
Dy: 0.500 0.500 0.500
Pt: 0.000 0.000 0.000
Pt: 0.500 0.000 0.663
Pt: 0.500 0.500 0.000
Y: 0.500 0.000 0.223

***

No. 4
Compound: DyYSi2Pt5
Source: Alexandria
Functional: PBE
Structure: optimized geometry

The energy comes out at -6.894 eV per atom. The space-group type is No. 123. For the density, the calculation gives 13.6 Mg/m³. The formation energy from raw total energies is -1103 meV per atom.

Unit cell a=4.184 b=4.184 c=8.975 alpha=90.00 beta=90.00 gamma=90.00
Element x y z (fractional)
Si: 0.500 0.500 0.869
Y: 0.000 0.000 0.500
Pt: 0.000 0.500 0.265
Dy: 0.000 0.000 0.000
Pt: 0.500 0.500 0.500
Pt: 0.000 0.500 0.735
Pt: 0.500 0.000 0.735
Si: 0.500 0.500 0.131
Pt: 0.500 0.000 0.265

***

No. 5
Compound: DyY2Si2Pt7
Source: Alexandria
Functional: PBE
Structure: optimized geometry

The energy comes out at -7.015 eV per atom. The space-group type is No. 12. For the density, the calculation gives 13.1 Mg/m³. The formation energy from raw total energies is -1126 meV per atom.

Unit cell a=4.042 b=4.042 c=13.781 alpha=83.80 beta=83.80 gamma=89.47
Element x y z (fractional)
Y: 0.883 0.883 0.356
Y: 0.117 0.117 0.644
Pt: 0.500 0.500 0.000
Si: 0.595 0.595 0.742
Si: 0.405 0.405 0.258
Pt: 0.940 0.440 0.162
Pt: 0.634 0.634 0.572
Dy: 0.000 0.000 0.000
Pt: 0.440 0.940 0.162
Pt: 0.060 0.560 0.838
Pt: 0.560 0.060 0.838
Pt: 0.366 0.366 0.428

***

No. 6
Compound: Dy2ZnSi4Pt3
Source: Alexandria
Functional: PBE
Structure: optimized geometry

The energy comes out at -5.994 eV per atom. The space-group type is No. 115. For the density, the calculation gives 10.4 Mg/m³. The formation energy from raw total energies is -965 meV per atom.

Unit cell a=4.130 b=4.130 c=10.171 alpha=90.00 beta=90.00 gamma=90.00
Element x y z (fractional)
Dy: 0.500 0.000 0.251
Dy: 0.000 0.500 0.749
Zn: 0.500 0.500 0.500
Pt: 0.000 0.000 0.500
Si: 0.000 0.000 0.000
Si: 0.000 0.500 0.360
Pt: 0.500 0.000 0.875
Si: 0.500 0.500 0.000
Si: 0.500 0.000 0.640
Pt: 0.000 0.500 0.125

***

energy of number 2 (DyU2Si2Pt7)?
-7.540 eV per atom

***

Number 3 is which compound?
DyY2Si3Pt4

***

Among the records above, which one has the highest formation energy from raw total energies?
DyU2Si2Pt7